! ErCoAsO, optimized geometry, DFT PBE+U; values from VASP
&SYSTEM
  ibrav = 0, nat = 8, ntyp = 4
/
ATOMIC_SPECIES
As 74.92 As.upf
Co 58.93 Co.upf
Er 167.26 Er.upf
O 16.00 O.upf
CELL_PARAMETERS angstrom
4.2752 0.0000 0.0000
0.0000 6.0530 0.0000
0.0000 0.0000 5.8082
ATOMIC_POSITIONS crystal
As 0.0000 0.7549 0.4027
As 0.0000 0.2451 0.9027
Co 0.5000 0.3955 0.0540
Co 0.5000 0.6045 0.5540
Er 0.0000 0.2277 0.4040
Er 0.0000 0.7723 0.9040
O 0.5000 0.3148 0.3933
O 0.5000 0.6852 0.8933
! - Energy above the most stable polymorph in this dataset: 0.2667 eV per atom
! - DFT total energy: -6.20 eV per atom